(1)
Density functional theory data (PBE) for a geometry-optimized LaPm2Fe structure.

Cell: 3.536 3.536 9.211 Å, 90.00 90.00 90.00°
Sites, in units of the cell vectors:
La 0.000 0.000 0.000
Pm 0.500 0.500 0.319
Pm 0.500 0.500 0.681
Fe 0.000 0.000 0.500

Computed properties:
total magnetic moment: 1.749 Bohr magnetons per cell
ΔE_f: 15 kJ/mol of atoms
DOS(E_F): 1.62 states/eV per atom


(2)
Density functional theory data (PBE) for a geometry-optimized TbPmZr2 structure.

Cell: 3.966 3.966 6.940 Å, 90.00 90.00 90.00°
Sites, in units of the cell vectors:
Tb 0.000 0.000 0.000
Pm 0.000 0.000 0.500
Zr 0.500 0.500 0.226
Zr 0.500 0.500 0.774

Computed properties:
offset from the most stable computed form: 74 meV/atom
total magnetic moment: 0.000 Bohr magnetons per cell
ΔE_f: 23 kJ/mol of atoms
DOS(E_F): 1.23 states/eV per atom


(3)
Density functional theory data (PBE) for a geometry-optimized Ho5MgZn6 structure.

Cell: 8.630 8.630 4.923 Å, 106.55 106.55 120.12°
Sites, in units of the cell vectors:
Ho 0.000 0.000 0.000
Ho 0.170 0.830 0.500
Ho 0.337 0.663 0.000
Ho 0.663 0.337 0.000
Ho 0.830 0.170 0.500
Mg 0.500 0.500 0.500
Zn 0.094 0.418 0.257
Zn 0.258 0.258 0.757
Zn 0.418 0.094 0.257
Zn 0.582 0.906 0.743
Zn 0.742 0.742 0.243
Zn 0.906 0.582 0.743

Computed properties:
total magnetic moment: 0.000 Bohr magnetons per cell
ΔE_f: -31 kJ/mol of atoms
DOS(E_F): 0.74 states/eV per atom


(4)
Density functional theory data (PBE) for a geometry-optimized Ta2Co2W structure.

Cell: 7.012 7.012 2.984 Å, 90.00 90.00 90.00°
Sites, in units of the cell vectors:
Ta 0.173 0.327 0.000
Ta 0.327 0.827 0.000
Ta 0.673 0.173 0.000
Ta 0.827 0.673 0.000
Co 0.125 0.625 0.500
Co 0.375 0.125 0.500
Co 0.625 0.875 0.500
Co 0.875 0.375 0.500
W 0.000 0.000 0.500
W 0.500 0.500 0.500

Computed properties:
offset from the most stable computed form: 0 meV/atom
total magnetic moment: 0.000 Bohr magnetons per cell
ΔE_f: -3 kJ/mol of atoms
DOS(E_F): 0.92 states/eV per atom